(1)
A relaxed YCdP2S crystal. Source: Alexandria, functional PBE.

Cell lengths 5.3643, 5.3643, 5.1298 Å; angles 90.00, 90.00, 90.00 degrees
With the nearest neighbours (Å) after each atom.
Sites, in units of the cell vectors:
1 Y 0.0000 0.0000 0.0000  2 S 2.56, 4 P 2.68
2 Cd 0.5000 0.5000 0.5000  8 P 3.71, 4 S 3.79
3 P 0.0000 0.5000 0.0000  2 Y 2.68
4 P 0.5000 0.0000 0.0000  2 Y 2.68
5 S 0.0000 0.0000 0.5000  2 Y 2.56

Summary:
For the magnetization, the calculation gives 1.4 μB/f.u. The value obtained for the density of states at the Fermi level is 4.48 states/eV/f.u. As for the excess energy over the best structure of this formula in the dataset: 52 meV per atom. The energy relative to the elements, uncorrected comes out at 1.5 eV per formula unit. For the calculated total energy, the calculation gives -4.16 eV/atom.

---

(2)
A relaxed Na2PuHgO6 crystal. Source: Alexandria, functional PBE.

Cell lengths 5.8112, 5.7231, 11.0110 Å; angles 90.00, 121.77, 90.00 degrees
With the nearest neighbours (Å) after each atom.
Sites, in units of the cell vectors:
1 Na 0.2045 0.0014 0.2052  6 O 2.39-2.47
2 Na 0.2045 0.4986 0.7052  6 O 2.39-2.47
3 Na 0.7955 0.5014 0.2948  6 O 2.39-2.47
4 Na 0.7955 0.9986 0.7948  6 O 2.39-2.47
5 Pu 0.5000 0.0000 0.0000  4 O 1.89
6 Pu 0.5000 0.5000 0.5000  4 O 1.89
7 Hg 0.0000 0.0000 0.5000  2 O 2.01
8 Hg 0.0000 0.5000 0.0000  2 O 2.01
9 O 0.1758 0.1978 0.9982  1 Hg 2.01, 1 Pu 2.19
10 O 0.1758 0.3022 0.4982  1 Hg 2.01, 1 Pu 2.19
11 O 0.2259 0.6943 0.3588  1 Pu 1.89
12 O 0.2259 0.8057 0.8588  1 Pu 1.89
13 O 0.4874 0.1881 0.8553  1 Pu 1.89
14 O 0.4874 0.3119 0.3553  1 Pu 1.89
15 O 0.5126 0.6881 0.6447  1 Pu 1.89
16 O 0.5126 0.8119 0.1447  1 Pu 1.89
17 O 0.7741 0.1943 0.1412  1 Pu 1.89
18 O 0.7741 0.3057 0.6412  1 Pu 1.89
19 O 0.8242 0.6978 0.5018  1 Hg 2.01, 1 Pu 2.19
20 O 0.8242 0.8022 0.0018  1 Hg 2.01, 1 Pu 2.19

Summary:
For the magnetization, the calculation gives 0.1 μB/f.u. The value obtained for the density of states at the Fermi level is 5.01 states/eV/f.u. The energy relative to the elements, uncorrected comes out at -16.3 eV per formula unit. For the calculated total energy, the calculation gives -6.33 eV/atom.

---

(3)
A relaxed SbO crystal. Source: Alexandria, functional PBE.

Cell lengths 7.1811, 7.1811, 7.1811 Å; angles 92.63, 92.63, 155.28 degrees
With the nearest neighbours (Å) after each atom.
Sites, in units of the cell vectors:
1 Sb 0.0190 0.7605 0.7795  3 O 2.07-2.22
2 Sb 0.2395 0.0190 0.2585  3 O 2.07-2.22
3 Sb 0.7605 0.9810 0.7415  3 O 2.07-2.22
4 Sb 0.9810 0.2395 0.2205  3 O 2.07-2.22
5 O 0.1407 0.3737 0.5144  3 Sb 2.07-2.22
6 O 0.3737 0.8593 0.2330  3 Sb 2.07-2.22
7 O 0.6263 0.1407 0.7670  3 Sb 2.07-2.22
8 O 0.8593 0.6263 0.4856  3 Sb 2.07-2.22

Summary:
For the magnetization, the calculation gives 0.0 μB/f.u. The value obtained for the density of states at the Fermi level is 0.78 states/eV/f.u. The energy relative to the elements, uncorrected comes out at -1.5 eV per formula unit. For the calculated total energy, the calculation gives -5.30 eV/atom.

---

(4)
A relaxed Tm3TlNi2 crystal. Source: Alexandria, functional PBE.

Cell lengths 3.3807, 3.3807, 11.0898 Å; angles 90.00, 90.00, 90.00 degrees
With the nearest neighbours (Å) after each atom.
Sites, in units of the cell vectors:
1 Tm 0.0000 0.0000 0.0000  8 Ni 2.93, 2 Tm 3.27
2 Tm 0.0000 0.0000 0.2948  4 Ni 2.86
3 Tm 0.0000 0.0000 0.7052  4 Ni 2.86
4 Tl 0.5000 0.5000 0.5000  8 Tm 3.30, 4 Tl 3.38
5 Ni 0.5000 0.5000 0.1524  8 Tm 2.86-2.93
6 Ni 0.5000 0.5000 0.8476  8 Tm 2.86-2.93

Summary:
For the magnetization, the calculation gives 0.0 μB/f.u. The value obtained for the density of states at the Fermi level is 5.26 states/eV/f.u. For the calculated total energy, the calculation gives -4.96 eV/atom.

---

(5)
A relaxed LuScPb2 crystal. Source: Alexandria, functional PBE.

Cell lengths 3.4514, 3.4514, 8.6994 Å; angles 90.00, 90.00, 90.00 degrees
With the nearest neighbours (Å) after each atom.
Sites, in units of the cell vectors:
1 Lu 0.0000 0.0000 0.0000  8 Pb 3.31, 4 Lu 3.45
2 Sc 0.0000 0.0000 0.5000  8 Pb 3.23, 4 Sc 3.45
3 Pb 0.5000 0.5000 0.2570  4 Sc 3.23, 4 Lu 3.31, 4 Pb 3.45
4 Pb 0.5000 0.5000 0.7430  4 Sc 3.23, 4 Lu 3.31, 4 Pb 3.45

Summary:
For the magnetization, the calculation gives 0.4 μB/f.u. The value obtained for the density of states at the Fermi level is 3.72 states/eV/f.u. For the calculated total energy, the calculation gives -4.88 eV/atom.

---

(6)
A relaxed ZrTi6Sn3 crystal. Source: Alexandria, functional PBE.

Cell lengths 7.3532, 7.3532, 7.5369 Å; angles 90.00, 90.00, 95.99 degrees
With the nearest neighbours (Å) after each atom.
Sites, in units of the cell vectors:
1 Zr 0.1717 0.8283 0.5000  4 Sn 2.89-3.21, 6 Ti 2.98-3.06
2 Zr 0.8283 0.1717 0.0000  4 Sn 2.89-3.21, 6 Ti 2.98-3.06
3 Ti 0.0727 0.2399 0.3217  1 Ti 2.60, 4 Sn 2.73-2.86
4 Ti 0.0993 0.4495 0.6533  3 Ti 2.80-3.00, 4 Sn 2.84-3.00, 1 Zr 3.01
5 Ti 0.2399 0.0727 0.8217  1 Ti 2.60, 4 Sn 2.73-2.86
6 Ti 0.2726 0.7274 0.8669  4 Ti 2.60-2.80, 3 Sn 2.72-2.79
7 Ti 0.4258 0.5742 0.3299  4 Sn 2.91-3.00, 1 Zr 3.06
8 Ti 0.4495 0.0993 0.1533  3 Ti 2.80-3.00, 4 Sn 2.84-3.00, 1 Zr 3.01
9 Ti 0.5505 0.9007 0.6533  3 Ti 2.80-3.00, 4 Sn 2.84-3.00, 1 Zr 3.01
10 Ti 0.5742 0.4258 0.8299  4 Sn 2.91-3.00, 1 Zr 3.06
11 Ti 0.7274 0.2726 0.3669  4 Ti 2.60-2.80, 3 Sn 2.72-2.79
12 Ti 0.7601 0.9273 0.3217  1 Ti 2.60, 4 Sn 2.73-2.86
13 Ti 0.9007 0.5505 0.1533  3 Ti 2.80-3.00, 4 Sn 2.84-3.00, 1 Zr 3.01
14 Ti 0.9273 0.7601 0.8217  1 Ti 2.60, 4 Sn 2.73-2.86
15 Sn 0.0947 0.9053 0.1333  7 Ti 2.79-2.86, 2 Zr 2.89-3.08
16 Sn 0.2285 0.3908 0.0199  8 Ti 2.72-3.00
17 Sn 0.3908 0.2285 0.5199  8 Ti 2.72-3.00
18 Sn 0.6092 0.7715 0.0199  8 Ti 2.72-3.00
19 Sn 0.7715 0.6092 0.5199  8 Ti 2.72-3.00
20 Sn 0.9053 0.0947 0.6333  7 Ti 2.79-2.86, 2 Zr 2.89-3.08

Summary:
For the magnetization, the calculation gives 0.5 μB/f.u. The value obtained for the density of states at the Fermi level is 9.62 states/eV/f.u. For the calculated total energy, the calculation gives -6.93 eV/atom.

---

(7)
A relaxed Sr2Ca5Cd crystal. Source: Alexandria, functional PBE.

Cell lengths 9.5534, 17.2972, 4.0250 Å; angles 90.00, 90.00, 90.00 degrees
With the nearest neighbours (Å) after each atom.
Sites, in units of the cell vectors:
1 Sr 0.2070 0.1148 0.0000  2 Cd 3.45
2 Sr 0.2930 0.6148 0.0000  2 Cd 3.45
3 Sr 0.7070 0.3852 0.0000  2 Cd 3.45
4 Sr 0.7930 0.8852 0.0000  2 Cd 3.45
5 Ca 0.0000 0.5000 0.5000  8 Ca 3.89-4.02, 4 Sr 3.98
6 Ca 0.0050 0.2749 0.5000  7 Ca 3.89-4.02, 4 Sr 3.93-3.97
7 Ca 0.2011 0.8863 0.0000  2 Cd 3.41
8 Ca 0.2989 0.3863 0.0000  2 Cd 3.41
9 Ca 0.4950 0.7749 0.5000  7 Ca 3.89-4.02, 4 Sr 3.93-3.97
10 Ca 0.5000 0.0000 0.5000  8 Ca 3.89-4.02, 4 Sr 3.98
11 Ca 0.5050 0.2251 0.5000  7 Ca 3.89-4.02, 4 Sr 3.93-3.97
12 Ca 0.7011 0.6137 0.0000  2 Cd 3.41
13 Ca 0.7989 0.1137 0.0000  2 Cd 3.41
14 Ca 0.9950 0.7251 0.5000  7 Ca 3.89-4.02, 4 Sr 3.93-3.97
15 Cd 0.0000 0.0000 0.5000  4 Ca 3.41, 4 Sr 3.45
16 Cd 0.5000 0.5000 0.5000  4 Ca 3.41, 4 Sr 3.45

Summary:
For the magnetization, the calculation gives 0.0 μB/f.u. The value obtained for the density of states at the Fermi level is 8.53 states/eV/f.u. For the calculated total energy, the calculation gives -1.85 eV/atom.

---

(8)
A relaxed SrPW crystal. Source: Alexandria, functional PBE.

Cell lengths 4.9769, 4.9769, 4.9769 Å; angles 60.00, 60.00, 60.00 degrees
With the nearest neighbours (Å) after each atom.
Sites, in units of the cell vectors:
1 Sr 0.0000 0.0000 0.0000  4 W 3.05, 4 P 3.05
2 P 0.2500 0.2500 0.2500  4 Sr 3.05
3 W 0.7500 0.7500 0.7500  4 Sr 3.05

Summary:
For the magnetization, the calculation gives 4.5 μB/f.u. The value obtained for the density of states at the Fermi level is 2.46 states/eV/f.u. As for the excess energy over the best structure of this formula in the dataset: 2192 meV per atom. For the calculated total energy, the calculation gives -4.89 eV/atom.